# LaUNiSe4

A relaxed structure of LaUNiSe4 (PBE-GGA, Alexandria via LeMat-Bulk).

Lattice parameters (Å, degrees): 6.878 5.962 8.270 90.00 106.91 90.00
Space group P2_1/m (No. 11)
Unique sites:
La 0.242 0.250 0.433 [2 per cell]
U 0.241 0.250 0.941 [2 per cell]
Ni 0.255 0.750 0.181 [2 per cell]
Se 0.070 0.750 0.380 [2 per cell]
Se 0.078 0.750 0.897 [2 per cell]
Se 0.483 0.509 0.759 [4 per cell]

Values from the calculation:
calculated density: 7.693 g cm⁻³
formation energy (no corrections): -821 kJ/mol of formula units